Compound: Na5Hg12Au2
Source: Alexandria
Functional: PBE
Structure: relaxed

Cell: 7.7248 8.1251 9.1214 Å, 107.14 115.05 90.00°
Closest atoms and distances in Å follow each position.
Sites, in units of the cell vectors:
Hg1 0.6282 0.4950 0.6761  5 Hg 3.00-3.24, 2 Na 3.07-3.12
Hg2 0.9400 0.8744 0.2833  1 Au 2.99, 2 Hg 3.12-3.13, 3 Na 3.12-3.33
Hg3 0.3718 0.5050 0.3239  5 Hg 3.00-3.24, 2 Na 3.07-3.12
Hg4 0.0479 0.4950 0.6761  5 Hg 3.00-3.24, 2 Na 3.07-3.12
Hg5 0.3433 0.8744 0.2833  1 Au 2.99, 2 Hg 3.12-3.13, 3 Na 3.12-3.33
Hg6 0.9351 0.8162 0.8701  2 Au 2.91, 3 Hg 3.05-3.06, 2 Na 3.09
Hg7 0.0600 0.1256 0.7167  1 Au 2.99, 2 Hg 3.12-3.13, 3 Na 3.12-3.33
Hg8 0.4745 0.6583 0.9491  3 Hg 2.96-3.15, 2 Au 3.01, 1 Na 3.25
Hg9 0.0649 0.1838 0.1299  2 Au 2.91, 3 Hg 3.05-3.06, 2 Na 3.09
Hg10 0.9521 0.5050 0.3239  5 Hg 3.00-3.24, 2 Na 3.07-3.12
Hg11 0.6567 0.1256 0.7167  1 Au 2.99, 2 Hg 3.12-3.13, 3 Na 3.12-3.33
Hg12 0.5255 0.3417 0.0509  3 Hg 2.96-3.15, 2 Au 3.01, 1 Na 3.25
Au1 0.6794 0.0000 0.0000  1 Au 2.77, 6 Hg 2.91-3.01
Au2 0.3206 0.0000 0.0000  1 Au 2.77, 6 Hg 2.91-3.01
Na1 0.2587 0.2347 0.5175  7 Hg 3.07-3.33
Na2 0.3174 0.8163 0.6349  2 Au 3.21, 9 Hg 3.25-3.54
Na3 0.0000 0.5000 0.0000  6 Hg 3.09-3.12
Na4 0.7413 0.7653 0.4825  7 Hg 3.07-3.33
Na5 0.6826 0.1837 0.3651  2 Au 3.21, 9 Hg 3.25-3.54

Properties
* space-group type: No. 12
* energy of formation from the pure elements: -0.1629 eV per atom
* M_tot: 0.00 μB per cell